1.
A geometry-optimized Sm4PuTh3Se8 structure. Source: Alexandria via LeMat-Bulk, functional PBE.

a b c (Å): 8.2964 8.2964 20.7867
angles (deg): 90.00 90.00 120.00
With the nearest neighbours (Å) after each atom.
Space group R-3m (No. 166, hexagonal axes)
Symmetry-distinct sites (fractional):
Sm1 0.0000 0.0000 0.0000 (multiplicity 3)  6 Se 2.96
Sm2 0.0000 0.5000 0.0000 (multiplicity 9)  6 Se 2.93-2.94
Pu1 0.0000 0.0000 0.5000 (multiplicity 3)  6 Se 2.95
Th1 0.0000 0.5000 0.5000 (multiplicity 9)  6 Se 2.98
Se1 0.0000 0.0000 0.2521 (multiplicity 6)  3 Sm 2.93, 3 Th 2.98
Se2 0.0031 0.5016 0.2509 (multiplicity 18)  3 Sm 2.94-2.96, 1 Pu 2.95, 2 Th 2.98

Calculated values
* E: -6.89 eV per atom
* N(E_F): 45.738 states/eV/cell
* energy relative to the elements, uncorrected: -1677 meV per atom


2.
A geometry-optimized Sm3PuTh4Se8 structure. Source: Alexandria via LeMat-Bulk, functional PBE.

a b c (Å): 8.2595 8.2595 20.9945
angles (deg): 90.00 90.00 120.00
With the nearest neighbours (Å) after each atom.
Space group R-3m (No. 166, hexagonal axes)
Symmetry-distinct sites (fractional):
Sm1 0.0000 0.5000 0.0000 (multiplicity 9)  6 Se 2.93
Pu1 0.0000 0.0000 0.0000 (multiplicity 3)  6 Se 2.92
Th1 0.0000 0.0000 0.5000 (multiplicity 3)  6 Se 2.99
Th2 0.0000 0.5000 0.5000 (multiplicity 9)  6 Se 2.98
Se1 0.0000 0.0000 0.2521 (multiplicity 6)  3 Sm 2.93, 3 Th 2.98
Se2 0.0011 0.5006 0.7476 (multiplicity 18)  1 Pu 2.92, 2 Sm 2.93, 3 Th 2.98-2.99

Calculated values
* E: -7.02 eV per atom
* N(E_F): 40.488 states/eV/cell
* energy relative to the elements, uncorrected: -1645 meV per atom


3.
A geometry-optimized Sm2PuTh3Se6 structure. Source: Alexandria via LeMat-Bulk, functional PBE.

a b c (Å): 18.3816 4.1605 8.4016
angles (deg): 90.00 105.35 90.00
With the nearest neighbours (Å) after each atom.
Space group C2/m (No. 12)
Symmetry-distinct sites (fractional):
Sm1 0.1656 0.0000 0.3326 (multiplicity 4)  6 Se 2.92-2.94
Pu1 0.0000 0.5000 0.0000 (multiplicity 2)  6 Se 2.91-2.92
Th1 0.0000 0.5000 0.5000 (multiplicity 2)  6 Se 2.99-3.00
Th2 0.1676 0.0000 0.8365 (multiplicity 4)  6 Se 2.98-2.99
Se1 0.0007 0.0000 0.2436 (multiplicity 4)  2 Pu 2.92, 1 Sm 2.92, 3 Th 2.99-3.00
Se2 0.1641 0.5000 0.0877 (multiplicity 4)  1 Pu 2.91, 2 Sm 2.92, 3 Th 2.98-2.99
Se3 0.1685 0.5000 0.5814 (multiplicity 4)  3 Sm 2.94, 3 Th 2.99

Calculated values
* E: -7.21 eV per atom
* N(E_F): 22.502 states/eV/cell
* energy relative to the elements, uncorrected: -1630 meV per atom


4.
A geometry-optimized SmPu3Tl4Se8 structure. Source: Alexandria via LeMat-Bulk, functional PBE.

a b c (Å): 8.5056 8.5056 23.1375
angles (deg): 90.00 90.00 120.00
With the nearest neighbours (Å) after each atom.
Space group R-3m (No. 166, hexagonal axes)
Symmetry-distinct sites (fractional):
Sm1 0.0000 0.0000 0.0000 (multiplicity 3)  6 Se 2.94
Pu1 0.0000 0.5000 0.0000 (multiplicity 9)  6 Se 2.91-2.92
Tl1 0.0000 0.0000 0.5000 (multiplicity 3)  6 Se 3.33
Tl2 0.0000 0.5000 0.5000 (multiplicity 9)  6 Se 3.35-3.36
Se1 0.0000 0.0000 0.2661 (multiplicity 6)  3 Pu 2.91
Se2 0.0024 0.5012 0.2647 (multiplicity 18)  2 Pu 2.92, 1 Sm 2.94

Calculated values
* E: -6.49 eV per atom
* N(E_F): 98.773 states/eV/cell
* energy relative to the elements, uncorrected: -1173 meV per atom


5.
A geometry-optimized Sm3PuTl4Se8 structure. Source: Alexandria via LeMat-Bulk, functional PBE.

a b c (Å): 8.5399 8.5399 23.2150
angles (deg): 90.00 90.00 120.00
With the nearest neighbours (Å) after each atom.
Space group R-3m (No. 166, hexagonal axes)
Symmetry-distinct sites (fractional):
Sm1 0.0000 0.5000 0.0000 (multiplicity 9)  6 Se 2.95
Pu1 0.0000 0.0000 0.0000 (multiplicity 3)  6 Se 2.93
Tl1 0.0000 0.0000 0.5000 (multiplicity 3)  6 Se 3.36
Tl2 0.0000 0.5000 0.5000 (multiplicity 9)  6 Se 3.34
Se1 0.0000 0.0000 0.2636 (multiplicity 6)  3 Sm 2.95
Se2 0.0015 0.5008 0.7358 (multiplicity 18)  1 Pu 2.93, 2 Sm 2.95

Calculated values
* E: -5.42 eV per atom
* N(E_F): 37.806 states/eV/cell
* energy relative to the elements, uncorrected: -1306 meV per atom


6.
A geometry-optimized SmPuTl2Se4 structure. Source: Alexandria via LeMat-Bulk, functional PBE.

a b c (Å): 7.3905 4.2625 8.1066
angles (deg): 90.00 107.69 90.00
With the nearest neighbours (Å) after each atom.
Space group P2/m (No. 10)
Symmetry-distinct sites (fractional):
Sm1 0.0000 0.0000 0.0000 (multiplicity 1)  6 Se 2.94-2.95
Pu1 0.5000 0.5000 0.0000 (multiplicity 1)  6 Se 2.92-2.94
Tl1 0.0000 0.5000 0.5000 (multiplicity 1)  6 Se 3.34-3.36
Tl2 0.5000 0.0000 0.5000 (multiplicity 1)  6 Se 3.33-3.34
Se1 0.2371 0.5000 0.2084 (multiplicity 2)  1 Pu 2.94, 2 Sm 2.94
Se2 0.2680 0.0000 0.7953 (multiplicity 2)  2 Pu 2.92, 1 Sm 2.95

Calculated values
* E: -5.95 eV per atom
* N(E_F): 12.023 states/eV/cell
* energy relative to the elements, uncorrected: -1235 meV per atom